Entry 1:
! Sm3BiAsCl, relaxed, DFT PBE; values from VASP
&SYSTEM
  ibrav = 0, nat = 12, ntyp = 4
/
ATOMIC_SPECIES
Sm 150.36 Sm.upf
Bi 208.98 Bi.upf
As 74.92 As.upf
Cl 35.45 Cl.upf
CELL_PARAMETERS angstrom
8.7839 0.0000 0.0000
0.0000 4.2925 0.0000
-1.9403 0.0000 9.3749
ATOMIC_POSITIONS crystal
Sm 0.0768 0.2500 0.3487
Sm 0.2003 0.2500 0.9819
Sm 0.3854 0.7500 0.6391
Sm 0.6146 0.2500 0.3609
Sm 0.7997 0.7500 0.0181
Sm 0.9232 0.7500 0.6513
Bi 0.3265 0.7500 0.2823
Bi 0.6735 0.2500 0.7177
As 0.1550 0.2500 0.6579
As 0.8450 0.7500 0.3421
Cl 0.3822 0.7500 0.9257
Cl 0.6178 0.2500 0.0743
! ΔE_f (raw): -704 kJ/mol of formula units

Entry 2:
! Pr5Nd4Tl, relaxed, DFT PBE; values from VASP
&SYSTEM
  ibrav = 0, nat = 10, ntyp = 3
/
ATOMIC_SPECIES
Pr 140.91 Pr.upf
Nd 144.24 Nd.upf
Tl 204.38 Tl.upf
CELL_PARAMETERS angstrom
-5.4088 5.4088 3.0869
5.4088 -5.4088 3.0869
5.4088 5.4088 -3.0869
ATOMIC_POSITIONS crystal
Pr 0.0000 0.0000 0.0000
Pr 0.5257 0.5257 0.6251
Pr 0.5257 0.9006 0.0000
Pr 0.9006 0.5257 0.0000
Pr 0.9006 0.9006 0.3749
Nd 0.2009 0.5144 0.3134
Nd 0.2009 0.8875 0.6866
Nd 0.5144 0.2009 0.3134
Nd 0.8875 0.2009 0.6866
Tl 0.4771 0.4771 0.0000
! DFT formation energy: 1.09 eV per formula unit
! energy relative to the lowest polymorph listed for this composition: 98 meV/atom